Computed, not measured: CaTb2Ag after structural relaxation at the PBE level of DFT.

The structure belongs to space group R-3m (No. 166, hexagonal axes); the cell edges are 3.6465, 3.6465 and 32.2251 Å and the angles 90.00°, 90.00° and 120.00°. The distinct sites, in fractional coordinates, are Ca at (0.0000, 0.0000, 0.0000), Tb at (0.0000, 0.0000, 0.2370) and Ag at (0.0000, 0.0000, 0.5000).

The value obtained for the energy above the most stable polymorph in this dataset is 106 meV per atom. The value obtained for the formation enthalpy at 0 K is 0.05 eV/atom. The density of states at the Fermi level is 15.38 states/eV per cell. The calculation puts the total DFT energy (no corrections) at -3.480 eV/atom.